Record 1
Density functional theory data (PBE-GGA) for ZrIn2Rh after structural relaxation.

Cell lengths 4.4212, 4.4212, 16.3783 Å; angles 90.00, 90.00, 90.00 degrees
Space group I4/mmm (No. 139)
Inequivalent atoms, fractional coordinates:
Zr  0.0000  0.0000  0.1362 (multiplicity 4)
In  0.0000  0.0000  0.3532 (multiplicity 4)
In  0.0000  0.5000  0.0000 (multiplicity 4)
Rh  0.0000  0.5000  0.2500 (multiplicity 4)

Values from the calculation:
**ρ**: 8.792 g/cm3
**ΔE_f**: -440 meV/atom
**Crystal system**: tetragonal
**Final energy**: -92.6 eV for the cell shown

---

Record 2
Density functional theory data (PBE-GGA) for Zr2InRh after structural relaxation.

Cell lengths 3.3122, 3.3122, 7.3775 Å; angles 90.00, 90.00, 90.00 degrees
Space group P4mm (No. 99)
Inequivalent atoms, fractional coordinates:
Zr  0.0000  0.0000  0.0000 (multiplicity 1)
Zr  0.5000  0.5000  0.2893 (multiplicity 1)
In  0.0000  0.0000  0.5688 (multiplicity 1)
Rh  0.5000  0.5000  0.7938 (multiplicity 1)

Values from the calculation:
**ρ**: 8.210 g/cm3
**ΔE_f**: -445 meV/atom
**Crystal system**: tetragonal
**Final energy**: -29.0 eV for the cell shown

---

Record 3
Density functional theory data (PBE-GGA) for ZrIn3Rh4 after structural relaxation.

Cell lengths 4.6493, 4.6493, 12.6934 Å; angles 90.00, 90.00, 90.00 degrees
Space group I4/mmm (No. 139)
Inequivalent atoms, fractional coordinates:
Zr  0.0000  0.0000  0.0000 (multiplicity 2)
In  0.0000  0.0000  0.2509 (multiplicity 4)
In  0.0000  0.0000  0.5000 (multiplicity 2)
Rh  0.0000  0.5000  0.1257 (multiplicity 8)

Values from the calculation:
**ρ**: 10.255 g/cm3
**ΔE_f**: -578 meV/atom
**Crystal system**: tetragonal
**Final energy**: -101.6 eV for the cell shown

---

Record 4
Density functional theory data (PBE-GGA) for ZrIn2Rh3 after structural relaxation.

Cell lengths 4.6875, 14.0834, 6.2815 Å; angles 90.00, 90.00, 90.00 degrees
Space group Cmmm (No. 65)
Inequivalent atoms, fractional coordinates:
Zr  0.0000  0.1619  0.0000 (multiplicity 4)
In  0.0000  0.1678  0.5000 (multiplicity 4)
In  0.0000  0.5000  0.0000 (multiplicity 2)
In  0.0000  0.5000  0.5000 (multiplicity 2)
Rh  0.0000  0.0000  0.2576 (multiplicity 4)
Rh  0.0000  0.3293  0.2439 (multiplicity 8)

Values from the calculation:
**ρ**: 10.084 g/cm3
**ΔE_f**: -626 meV/atom
**Relative energy among the computed polymorphs**: 0.0 meV/atom
**Crystal system**: orthorhombic
**Final energy**: -159.3 eV for the cell shown